No. 1
Compound: CsSrRhF6
Source: Alexandria via LeMat-Bulk
Functional: PBE-GGA
Structure: optimized geometry

The structure in POSCAR format:
```
CsSrRhF6
1.0
-3.9442 4.1952 5.5128
3.9442 -4.1952 5.5128
3.9442 4.1952 -5.5128
Cs Sr Rh F
2 2 2 12
direct
0.3570 0.1070 0.2500
0.6430 0.8930 0.7500
0.0000 0.5000 0.5000
0.5000 0.5000 0.0000
0.0000 0.0000 0.5000
0.0000 0.5000 0.0000
0.0416 0.7916 0.2500
0.0428 0.3825 0.1803
0.0428 0.8625 0.6603
0.2978 0.1375 0.6803
0.2978 0.6175 0.1603
0.3567 0.6067 0.7500
0.6433 0.3933 0.2500
0.7022 0.3825 0.8397
0.7022 0.8625 0.3197
0.9572 0.1375 0.3397
0.9572 0.6175 0.8197
0.9584 0.2084 0.7500
```

Calculated volume (Å³/atom): 20.27
Formation energy (no corrections) (eV per formula unit): -23.65
E (eV/atom): -4.97

No. 2
Compound: ZnGaNiRu
Source: Alexandria via LeMat-Bulk
Functional: PBE-GGA
Structure: optimized geometry

The structure in POSCAR format:
```
ZnGaNiRu
1.0
0.0000 2.9700 2.9700
2.9700 0.0000 2.9700
2.9700 2.9700 0.0000
Zn Ga Ni Ru
1 1 1 1
direct
0.0000 0.0000 0.0000
0.5000 0.5000 0.5000
0.7500 0.7500 0.7500
0.2500 0.2500 0.2500
```

Calculated volume (Å³/atom): 13.10
Energy of formation from the pure elements (kJ/mol of formula units): -101
Density of states at the Fermi level (states/eV per cell): 1.8
Distance to the lowest polymorph of the same formula (eV/atom): 0.0210
E (eV/atom): -5.10

No. 3
Compound: Cr2SiBr
Source: Alexandria via LeMat-Bulk
Functional: PBE-GGA
Structure: optimized geometry

The structure in POSCAR format:
```
Cr2SiBr
1.0
3.1339 0.0000 0.0000
0.0000 3.1339 0.0000
0.0000 0.0000 7.5716
Cr Si Br
2 1 1
direct
0.0000 0.0000 0.0000
0.5000 0.5000 0.1881
0.0000 0.0000 0.3437
0.5000 0.5000 0.7833
```

Calculated volume (Å³/atom): 18.59
Density of states at the Fermi level (states/eV per cell): 1.6
Formation energy (no corrections) (eV per formula unit): 0.93
Distance to the lowest polymorph of the same formula (eV/atom): 0.0866
E (eV/atom): -6.35

No. 4
Compound: SrNd3
Source: Alexandria via LeMat-Bulk
Functional: PBE-GGA
Structure: optimized geometry

The structure in POSCAR format:
```
SrNd3
1.0
5.3446 0.0000 0.0000
0.0000 5.3446 0.0000
0.0000 0.0000 5.3446
Sr Nd
1 3
direct
0.0000 0.0000 0.0000
0.0000 0.5000 0.5000
0.5000 0.0000 0.5000
0.5000 0.5000 0.0000
```

Calculated volume (Å³/atom): 38.17
Energy of formation from the pure elements (kJ/mol of formula units): 56
Density of states at the Fermi level (states/eV per cell): 7.3
E (eV/atom): -3.85

No. 5
Compound: AcHPt
Source: Alexandria via LeMat-Bulk
Functional: PBE-GGA
Structure: optimized geometry

The structure in POSCAR format:
```
AcHPt
1.0
3.9516 0.0000 0.0000
0.0000 4.6345 0.0000
0.0045 0.0004 6.6653
Ac H Pt
2 2 2
direct
0.0000 0.0000 0.0000
0.0005 0.5001 0.5004
0.4992 0.0008 0.3510
0.4993 0.5009 0.1494
0.5003 0.0000 0.6067
0.5001 0.4999 0.8937
```

Calculated volume (Å³/atom): 20.34
Density of states at the Fermi level (states/eV per cell): 2.1
Distance to the lowest polymorph of the same formula (eV/atom): 0.0431
E (eV/atom): -5.25

No. 6
Compound: KCdOs2
Source: Alexandria via LeMat-Bulk
Functional: PBE-GGA
Structure: optimized geometry

The structure in POSCAR format:
```
KCdOs2
1.0
3.9057 0.0000 0.0000
0.0000 3.9057 0.0000
0.0000 0.0000 4.9415
K Cd Os
1 1 2
direct
0.0000 0.0000 0.0000
0.5000 0.5000 0.0000
0.0000 0.5000 0.5000
0.5000 0.0000 0.5000
```

Calculated volume (Å³/atom): 18.85
Energy of formation from the pure elements (kJ/mol of formula units): 566
Density of states at the Fermi level (states/eV per cell): 4.3
E (eV/atom): -4.65

No. 7
Compound: GaTcNi2B
Source: Alexandria via LeMat-Bulk
Functional: PBE-GGA
Structure: optimized geometry

The structure in POSCAR format:
```
GaTcNi2B
1.0
4.3611 0.0000 0.0000
0.0000 4.3611 0.0000
0.0000 0.0000 3.7773
Ga Tc Ni B
1 1 2 1
direct
0.0000 0.0000 0.0000
0.5000 0.5000 0.5000
0.0000 0.5000 0.0000
0.5000 0.0000 0.0000
0.0000 0.0000 0.5000
```

Calculated volume (Å³/atom): 14.37
Energy of formation from the pure elements (kJ/mol of formula units): 626
Density of states at the Fermi level (states/eV per cell): 3.8
E (eV/atom): -5.03

No. 8
Compound: SmAl3Pd
Source: Alexandria via LeMat-Bulk
Functional: PBE-GGA
Structure: optimized geometry

The structure in POSCAR format:
```
SmAl3Pd
1.0
6.8648 0.0000 0.0000
0.0000 4.2496 0.0000
-1.7988 0.0000 6.6389
Sm Al Pd
2 6 2
direct
0.1936 0.2500 0.1718
0.8064 0.7500 0.8282
0.0711 0.2500 0.6430
0.3248 0.7500 0.9010
0.3410 0.7500 0.5147
0.6590 0.2500 0.4853
0.6752 0.2500 0.0990
0.9289 0.7500 0.3570
0.4455 0.2500 0.7366
0.5545 0.7500 0.2634
```

Calculated volume (Å³/atom): 19.37
Energy of formation from the pure elements (kJ/mol of formula units): -321
Density of states at the Fermi level (states/eV per cell): 4.3
Distance to the lowest polymorph of the same formula (eV/atom): 0.0144
E (eV/atom): -4.89

No. 9
Compound: Sm4Er6Tm
Source: Alexandria via LeMat-Bulk
Functional: PBE-GGA
Structure: optimized geometry

The structure in POSCAR format:
```
Sm4Er6Tm
1.0
-3.2879 3.2879 8.4692
3.2879 -3.2879 8.4692
3.2879 3.2879 -8.4692
Sm Er Tm
4 6 1
direct
0.0136 0.6367 0.0000
0.3633 0.3633 0.3770
0.6367 0.0136 0.0000
0.9864 0.9864 0.6230
0.0000 0.5000 0.5000
0.1947 0.1947 0.6429
0.4482 0.8053 0.0000
0.5000 0.0000 0.5000
0.5518 0.5518 0.3571
0.8053 0.4482 0.0000
0.0000 0.0000 0.0000
```

Calculated volume (Å³/atom): 33.29
Energy of formation from the pure elements (kJ/mol of formula units): 318
Density of states at the Fermi level (states/eV per cell): 13.4
Distance to the lowest polymorph of the same formula (eV/atom): 0.1322
E (eV/atom): -4.31

No. 10
Compound: BIr2Br
Source: Alexandria via LeMat-Bulk
Functional: PBE-GGA
Structure: optimized geometry

The structure in POSCAR format:
```
BIr2Br
1.0
-2.5303 2.5303 5.4554
2.5303 -2.5303 5.4554
2.5303 2.5303 -5.4554
B Ir Br
2 4 2
direct
0.0000 0.0000 0.0000
0.7500 0.2500 0.5000
0.0369 0.6250 0.9119
0.3750 0.2869 0.4119
0.7131 0.1250 0.0881
0.8750 0.9631 0.5881
0.2500 0.7500 0.5000
0.5000 0.5000 0.0000
```

Calculated volume (Å³/atom): 17.46
Density of states at the Fermi level (states/eV per cell): 1.0
Formation energy (no corrections) (eV per formula unit): 2.24
Distance to the lowest polymorph of the same formula (eV/atom): 0.0000
E (eV/atom): -5.96

No. 11
Compound: NbHg3Ru
Source: Alexandria via LeMat-Bulk
Functional: PBE-GGA
Structure: optimized geometry

The structure in POSCAR format:
```
NbHg3Ru
1.0
5.1266 0.0000 0.0000
0.0000 5.1266 0.0000
0.0000 0.0000 5.1266
Nb Hg Ru
1 3 1
direct
0.0000 0.0000 0.0000
0.0000 0.5000 0.5000
0.5000 0.0000 0.5000
0.5000 0.5000 0.0000
0.5000 0.5000 0.5000
```

Calculated volume (Å³/atom): 26.95
Energy of formation from the pure elements (kJ/mol of formula units): 605
Density of states at the Fermi level (states/eV per cell): 6.0
Distance to the lowest polymorph of the same formula (eV/atom): 0.0000
E (eV/atom): -2.80

No. 12
Compound: HoErTi
Source: Alexandria via LeMat-Bulk
Functional: PBE-GGA
Structure: optimized geometry

The structure in POSCAR format:
```
HoErTi
1.0
5.2202 0.0000 0.0000
-2.6101 4.5209 0.0000
0.0000 0.0000 3.2841
Ho Er Ti
1 1 1
direct
0.0000 0.0000 0.0000
0.3333 0.6667 0.5000
0.6667 0.3333 0.5000
```

Calculated volume (Å³/atom): 25.83
Energy of formation from the pure elements (kJ/mol of formula units): 64
Density of states at the Fermi level (states/eV per cell): 4.1
E (eV/atom): -5.46

No. 13
Compound: LaEuCuSi
Source: Alexandria via LeMat-Bulk
Functional: PBE-GGA
Structure: optimized geometry

The structure in POSCAR format:
```
LaEuCuSi
1.0
0.0000 3.6695 3.6695
3.6695 0.0000 3.6695
3.6695 3.6695 0.0000
La Eu Cu Si
1 1 1 1
direct
0.0000 0.0000 0.0000
0.5000 0.5000 0.5000
0.2500 0.2500 0.2500
0.7500 0.7500 0.7500
```

Calculated volume (Å³/atom): 24.71
Density of states at the Fermi level (states/eV per cell): 7.7
Formation energy (no corrections) (eV per formula unit): -1.42
E (eV/atom): -6.54

No. 14
Compound: Na3LaB
Source: Alexandria via LeMat-Bulk
Functional: PBE-GGA
Structure: optimized geometry

The structure in POSCAR format:
```
Na3LaB
1.0
5.1746 0.0000 0.0000
0.0000 5.1746 0.0000
0.0000 0.0000 5.1746
Na La B
3 1 1
direct
0.0000 0.0000 0.5000
0.0000 0.5000 0.0000
0.5000 0.0000 0.0000
0.5000 0.5000 0.5000
0.0000 0.0000 0.0000
```

Calculated volume (Å³/atom): 27.71
Energy of formation from the pure elements (kJ/mol of formula units): 414
Density of states at the Fermi level (states/eV per cell): 1.9
Distance to the lowest polymorph of the same formula (eV/atom): 0.0000
E (eV/atom): -2.25

No. 15
Compound: CaMgAu2
Source: Alexandria via LeMat-Bulk
Functional: PBE-GGA
Structure: optimized geometry

The structure in POSCAR format:
```
CaMgAu2
1.0
-2.5077 2.5077 8.7266
2.5077 -2.5077 8.7266
2.5077 2.5077 -8.7266
Ca Mg Au
2 2 4
direct
0.0000 0.0000 0.0000
0.7500 0.2500 0.5000
0.2500 0.7500 0.5000
0.5000 0.5000 0.0000
0.2221 0.6250 0.0971
0.3750 0.4721 0.5971
0.5279 0.1250 0.9029
0.8750 0.7779 0.4029
```

Calculated volume (Å³/atom): 27.44
Energy of formation from the pure elements (kJ/mol of formula units): -124
Density of states at the Fermi level (states/eV per cell): 3.3
E (eV/atom): -2.86

No. 16
Compound: Ho2CoNi4Ge3
Source: Alexandria via LeMat-Bulk
Functional: PBE-GGA
Structure: optimized geometry

The structure in POSCAR format:
```
Ho2CoNi4Ge3
1.0
3.9901 0.0000 0.0000
0.0000 3.9901 0.0000
0.0000 0.0000 9.8164
Ho Co Ni Ge
2 1 4 3
direct
0.0000 0.5000 0.2460
0.5000 0.0000 0.7540
0.5000 0.5000 0.0000
0.0000 0.0000 0.5000
0.0000 0.5000 0.8705
0.5000 0.0000 0.1295
0.5000 0.5000 0.5000
0.0000 0.0000 0.0000
0.0000 0.5000 0.6324
0.5000 0.0000 0.3676
```

Calculated volume (Å³/atom): 15.63
Energy of formation from the pure elements (kJ/mol of formula units): -552
Density of states at the Fermi level (states/eV per cell): 9.5
E (eV/atom): -5.90

No. 17
Compound: SrOs
Source: Alexandria via LeMat-Bulk
Functional: PBE-GGA
Structure: optimized geometry

The structure in POSCAR format:
```
SrOs
1.0
1.5855 0.9154 4.9398
-1.5855 0.9154 4.9398
0.0000 -1.8308 4.9398
Sr Os
1 1
direct
0.0000 0.0000 0.0000
0.5000 0.5000 0.5000
```

Calculated volume (Å³/atom): 21.51
Energy of formation from the pure elements (kJ/mol of formula units): 252
Density of states at the Fermi level (states/eV per cell): 2.9
E (eV/atom): -5.15

No. 18
Compound: RbPdPbF6
Source: Alexandria via LeMat-Bulk
Functional: PBE-GGA
Structure: optimized geometry

The structure in POSCAR format:
```
RbPdPbF6
1.0
-3.9813 4.1095 5.1645
3.9813 -4.1095 5.1645
3.9813 4.1095 -5.1645
Rb Pd Pb F
2 2 2 12
direct
0.4083 0.1583 0.2500
0.5917 0.8417 0.7500
0.0000 0.5000 0.5000
0.5000 0.5000 0.0000
0.0000 0.0000 0.5000
0.0000 0.5000 0.0000
0.1323 0.8823 0.2500
0.1648 0.4588 0.3542
0.1648 0.8106 0.7060
0.1873 0.4373 0.7500
0.3954 0.1894 0.8542
0.3954 0.5412 0.2060
0.6046 0.4588 0.7940
0.6046 0.8106 0.1458
0.8127 0.5627 0.2500
0.8352 0.1894 0.2940
0.8352 0.5412 0.6458
0.8677 0.1177 0.7500
```

Calculated volume (Å³/atom): 18.78
Density of states at the Fermi level (states/eV per cell): 2.8
Formation energy (no corrections) (eV per formula unit): -18.33
E (eV/atom): -4.38

No. 19
Compound: Cd2BiBr
Source: Alexandria via LeMat-Bulk
Functional: PBE-GGA
Structure: optimized geometry

The structure in POSCAR format:
```
Cd2BiBr
1.0
-3.3061 3.3061 7.0132
3.3061 -3.3061 7.0132
3.3061 3.3061 -7.0132
Cd Bi Br
4 2 2
direct
0.1068 0.6250 0.9818
0.3750 0.3568 0.4818
0.6432 0.1250 0.0182
0.8750 0.8932 0.5182
0.0000 0.0000 0.0000
0.7500 0.2500 0.5000
0.2500 0.7500 0.5000
0.5000 0.5000 0.0000
```

Calculated volume (Å³/atom): 38.33
Density of states at the Fermi level (states/eV per cell): 2.4
Formation energy (no corrections) (eV per formula unit): -0.96
Distance to the lowest polymorph of the same formula (eV/atom): 0.0000
E (eV/atom): -2.09

No. 20
Compound: CaCe2C
Source: Alexandria via LeMat-Bulk
Functional: PBE-GGA
Structure: optimized geometry

The structure in POSCAR format:
```
CaCe2C
1.0
1.7973 1.0377 9.7848
-1.7973 1.0377 9.7848
0.0000 -2.0753 9.7848
Ca Ce C
1 2 1
direct
0.0000 0.0000 0.0000
0.2151 0.2151 0.2151
0.4522 0.4522 0.4522
0.8335 0.8335 0.8335
```

Calculated volume (Å³/atom): 27.37
Energy of formation from the pure elements (kJ/mol of formula units): -21
Density of states at the Fermi level (states/eV per cell): 8.8
Distance to the lowest polymorph of the same formula (eV/atom): 0.0000
E (eV/atom): -5.83

No. 21
Compound: CrRh4
Source: Alexandria via LeMat-Bulk
Functional: PBE-GGA
Structure: optimized geometry

The structure in POSCAR format:
```
CrRh4
1.0
4.3927 0.0000 0.0000
0.0000 4.3927 0.0000
0.0000 0.0000 4.3927
Cr Rh
1 4
direct
0.0000 0.0000 0.0000
0.0000 0.0000 0.5000
0.0000 0.5000 0.0000
0.5000 0.0000 0.0000
0.5000 0.5000 0.5000
```

Calculated volume (Å³/atom): 16.95
Energy of formation from the pure elements (kJ/mol of formula units): 507
Density of states at the Fermi level (states/eV per cell): 10.1
Distance to the lowest polymorph of the same formula (eV/atom): 1.1204
E (eV/atom): -6.75

No. 22
Compound: DyHoAu
Source: Alexandria via LeMat-Bulk
Functional: PBE-GGA
Structure: optimized geometry

The structure in POSCAR format:
```
DyHoAu
1.0
4.8960 0.0000 0.0000
-2.4480 4.2400 0.0000
0.0000 0.0000 3.8002
Dy Ho Au
1 1 1
direct
0.0000 0.0000 0.0000
0.3333 0.6667 0.4717
0.6667 0.3333 0.7283
```

Calculated volume (Å³/atom): 26.30
Energy of formation from the pure elements (kJ/mol of formula units): -123
Density of states at the Fermi level (states/eV per cell): 1.8
Distance to the lowest polymorph of the same formula (eV/atom): 0.2191
E (eV/atom): -4.58

No. 23
Compound: MgTl
Source: Alexandria via LeMat-Bulk
Functional: PBE-GGA
Structure: optimized geometry

The structure in POSCAR format:
```
MgTl
1.0
-5.7134 5.7134 1.6662
5.7134 -5.7134 1.6662
5.7134 5.7134 -1.6662
Mg Tl
4 4
direct
0.0886 0.3633 0.4519
0.3633 0.9114 0.2747
0.6367 0.0886 0.7253
0.9114 0.6367 0.5481
0.1105 0.8260 0.9366
0.1740 0.1105 0.2845
0.8260 0.8895 0.7155
0.8895 0.1740 0.0634
```

Calculated volume (Å³/atom): 27.19
Energy of formation from the pure elements (kJ/mol of formula units): 9
Density of states at the Fermi level (states/eV per cell): 3.8
E (eV/atom): -1.93

No. 24
Compound: YFeIr3
Source: Alexandria via LeMat-Bulk
Functional: PBE-GGA
Structure: optimized geometry

The structure in POSCAR format:
```
YFeIr3
1.0
4.5601 0.0000 0.0000
0.0000 4.5601 0.0000
0.0000 0.0000 4.5601
Y Fe Ir
1 1 3
direct
0.0000 0.0000 0.0000
0.5000 0.5000 0.5000
0.0000 0.5000 0.5000
0.5000 0.0000 0.5000
0.5000 0.5000 0.0000
```

Calculated volume (Å³/atom): 18.97
Energy of formation from the pure elements (kJ/mol of formula units): 209
Density of states at the Fermi level (states/eV per cell): 5.1
Distance to the lowest polymorph of the same formula (eV/atom): 0.0000
E (eV/atom): -7.87

No. 25
Compound: DyAlZnAu3
Source: Alexandria via LeMat-Bulk
Functional: PBE-GGA
Structure: optimized geometry

The structure in POSCAR format:
```
DyAlZnAu3
1.0
3.3232 -5.9917 0.0000
3.3232 5.9917 0.0000
0.0000 0.0000 6.1866
Dy Al Zn Au
2 2 2 6
direct
0.1954 0.8046 0.7500
0.8046 0.1954 0.2500
0.1290 0.8710 0.2500
0.8710 0.1290 0.7500
0.4366 0.5634 0.7500
0.5634 0.4366 0.2500
0.2139 0.2139 0.0000
0.2139 0.2139 0.5000
0.3330 0.6670 0.2500
0.6670 0.3330 0.7500
0.7861 0.7861 0.0000
0.7861 0.7861 0.5000
```

Calculated volume (Å³/atom): 20.53
Energy of formation from the pure elements (kJ/mol of formula units): -221
Density of states at the Fermi level (states/eV per cell): 5.3
E (eV/atom): -3.62